Record 1
VASP calculation (PBE) on crystalline La5Pr3Sm at its relaxed geometry.

Geometry as CIF:
```
data_La5Pr3Sm
_cell_length_a 10.2313
_cell_length_b 10.2313
_cell_length_c 10.2313
_cell_angle_alpha 127.34
_cell_angle_beta 127.34
_cell_angle_gamma 77.69
_space_group_name_H-M_alt 'P 1'
_space_group_IT_number 1
loop_
_space_group_symop_operation_xyz
'x,y,z'
loop_
_atom_site_label
_atom_site_fract_x
_atom_site_fract_y
_atom_site_fract_z
_atom_site_occupancy
La1 0.0000 0.0000 0.0000 1
La2 0.0647 0.5647 0.9065 1
La3 0.1582 0.0647 0.5000 1
La4 0.3418 0.8418 0.9065 1
La5 0.4353 0.3418 0.5000 1
La6 0.5000 0.5000 0.0000 1
La7 0.5647 0.6582 0.5000 1
La8 0.6582 0.1582 0.0935 1
La9 0.8418 0.9353 0.5000 1
La10 0.9353 0.4353 0.0935 1
Pr1 0.1183 0.3817 0.5000 1
Pr2 0.2500 0.2500 0.0000 1
Pr3 0.3817 0.8817 0.2634 1
Pr4 0.6183 0.1183 0.7366 1
Pr5 0.7500 0.7500 0.0000 1
Pr6 0.8817 0.6183 0.5000 1
Sm1 0.2500 0.7500 0.5000 1
Sm2 0.7500 0.2500 0.5000 1
```

Results
The density of states at the Fermi level is 31.46 states/eV/cell. The total magnetic moment comes out at 0.00 μB/cell. The total energy comes out at -0.3396 Ry per atom. As for the crystal system: tetragonal. The calculation puts the density at 6.414 Mg/m³. As for the formation energy from the elements: 0.234 eV/atom.

***

Record 2
VASP calculation (PBE) on crystalline Er2Mg3Cd2 at its relaxed geometry.

Geometry as CIF:
```
data_Er2Mg3Cd2
_cell_length_a 5.9462
_cell_length_b 5.9462
_cell_length_c 7.0125
_cell_angle_alpha 102.16
_cell_angle_beta 102.16
_cell_angle_gamma 46.99
_space_group_name_H-M_alt 'P 1'
_space_group_IT_number 1
loop_
_space_group_symop_operation_xyz
'x,y,z'
loop_
_atom_site_label
_atom_site_fract_x
_atom_site_fract_y
_atom_site_fract_z
_atom_site_occupancy
Er1 0.1182 0.1182 0.3592 1
Er2 0.8818 0.8818 0.6408 1
Mg1 0.1929 0.1929 0.8757 1
Mg2 0.5000 0.5000 0.0000 1
Mg3 0.8071 0.8071 0.1243 1
Cd1 0.3955 0.3955 0.3366 1
Cd2 0.6045 0.6045 0.6634 1
```

Results
The density of states at the Fermi level is 6.42 states/eV/cell. The total magnetic moment comes out at 0.00 μB/cell. The total energy comes out at -0.1736 Ry per atom. As for the crystal system: monoclinic. The excess energy over the best structure of this formula in the dataset comes out at 65 meV per atom. The calculation puts the density at 5.950 Mg/m³. As for the formation energy from the elements: -0.113 eV/atom.

***

Record 3
VASP calculation (PBE) on crystalline LiYSn at its relaxed geometry.

Geometry as CIF:
```
data_LiYSn
_cell_length_a 9.2106
_cell_length_b 4.5465
_cell_length_c 6.7653
_cell_angle_alpha 90.00
_cell_angle_beta 90.00
_cell_angle_gamma 90.00
_space_group_name_H-M_alt 'P 1'
_space_group_IT_number 1
loop_
_space_group_symop_operation_xyz
'x,y,z'
loop_
_atom_site_label
_atom_site_fract_x
_atom_site_fract_y
_atom_site_fract_z
_atom_site_occupancy
Li1 0.1146 0.2500 0.0181 1
Li2 0.3854 0.7500 0.5181 1
Li3 0.6146 0.2500 0.4819 1
Li4 0.8854 0.7500 0.9819 1
Y1 0.1088 0.7500 0.3052 1
Y2 0.3912 0.2500 0.8052 1
Y3 0.6088 0.7500 0.1948 1
Y4 0.8912 0.2500 0.6948 1
Sn1 0.1388 0.7500 0.7755 1
Sn2 0.3612 0.2500 0.2755 1
Sn3 0.6388 0.7500 0.7245 1
Sn4 0.8612 0.2500 0.2245 1
```

Results
The density of states at the Fermi level is 1.71 states/eV/cell. The total magnetic moment comes out at 0.00 μB/cell. The total energy comes out at -0.3426 Ry per atom. As for the crystal system: orthorhombic. The calculation puts the density at 5.030 Mg/m³. As for the formation energy from the elements: -0.535 eV/atom.

***

Record 4
VASP calculation (PBE) on crystalline Ca2ScNi2 at its relaxed geometry.

Geometry as CIF:
```
data_Ca2ScNi2
_cell_length_a 6.9582
_cell_length_b 6.9582
_cell_length_c 4.4802
_cell_angle_alpha 90.00
_cell_angle_beta 90.00
_cell_angle_gamma 90.00
_space_group_name_H-M_alt 'P 1'
_space_group_IT_number 1
loop_
_space_group_symop_operation_xyz
'x,y,z'
loop_
_atom_site_label
_atom_site_fract_x
_atom_site_fract_y
_atom_site_fract_z
_atom_site_occupancy
Ca1 0.1732 0.3268 0.0000 1
Ca2 0.3268 0.8268 0.0000 1
Ca3 0.6732 0.1732 0.0000 1
Ca4 0.8268 0.6732 0.0000 1
Sc1 0.0000 0.0000 0.5000 1
Sc2 0.5000 0.5000 0.5000 1
Ni1 0.1202 0.6202 0.5000 1
Ni2 0.3798 0.1202 0.5000 1
Ni3 0.6202 0.8798 0.5000 1
Ni4 0.8798 0.3798 0.5000 1
```

Results
The density of states at the Fermi level is 10.93 states/eV/cell. The total magnetic moment comes out at 0.00 μB/cell. The total energy comes out at -0.3313 Ry per atom. As for the crystal system: tetragonal. The excess energy over the best structure of this formula in the dataset comes out at 0 meV per atom. The calculation puts the density at 3.713 Mg/m³. As for the formation energy from the elements: -0.129 eV/atom.

***

Record 5
VASP calculation (PBE) on crystalline AlIn2Os at its relaxed geometry.

Geometry as CIF:
```
data_AlIn2Os
_cell_length_a 2.9696
_cell_length_b 2.9696
_cell_length_c 10.1850
_cell_angle_alpha 90.00
_cell_angle_beta 90.00
_cell_angle_gamma 115.19
_space_group_name_H-M_alt 'P 1'
_space_group_IT_number 1
loop_
_space_group_symop_operation_xyz
'x,y,z'
loop_
_atom_site_label
_atom_site_fract_x
_atom_site_fract_y
_atom_site_fract_z
_atom_site_occupancy
Al1 0.0000 0.0000 0.0000 1
In1 0.0000 0.0000 0.5848 1
In2 0.5000 0.5000 0.2651 1
Os1 0.5000 0.5000 0.8155 1
```

Results
The density of states at the Fermi level is 2.67 states/eV/cell. The total magnetic moment comes out at 0.00 μB/cell. The total energy comes out at -0.3514 Ry per atom. As for the crystal system: orthorhombic. The calculation puts the density at 9.130 Mg/m³. As for the formation energy from the elements: 0.332 eV/atom.

***

Record 6
VASP calculation (PBE) on crystalline NdYCo at its relaxed geometry.

Geometry as CIF:
```
data_NdYCo
_cell_length_a 11.1285
_cell_length_b 10.0864
_cell_length_c 6.1111
_cell_angle_alpha 82.90
_cell_angle_beta 64.08
_cell_angle_gamma 33.02
_space_group_name_H-M_alt 'P 1'
_space_group_IT_number 1
loop_
_space_group_symop_operation_xyz
'x,y,z'
loop_
_atom_site_label
_atom_site_fract_x
_atom_site_fract_y
_atom_site_fract_z
_atom_site_occupancy
Nd1 0.0308 0.7192 0.0308 1
Nd2 0.2808 0.9692 0.2808 1
Nd3 0.7192 0.0308 0.7192 1
Nd4 0.9692 0.2808 0.9692 1
Y1 0.2843 0.2843 0.4657 1
Y2 0.4657 0.4657 0.2843 1
Y3 0.5343 0.5343 0.7157 1
Y4 0.7157 0.7157 0.5343 1
Co1 0.0023 0.0023 0.2477 1
Co2 0.2477 0.2477 0.0023 1
Co3 0.7523 0.7523 0.9977 1
Co4 0.9977 0.9977 0.7523 1
```

Results
The density of states at the Fermi level is 13.20 states/eV/cell. The total magnetic moment comes out at 0.00 μB/cell. The total energy comes out at -0.4507 Ry per atom. As for the crystal system: orthorhombic. The excess energy over the best structure of this formula in the dataset comes out at 63 meV per atom. The calculation puts the density at 6.644 Mg/m³. As for the formation energy from the elements: -0.020 eV/atom.

***

Record 7
VASP calculation (PBE) on crystalline AlCdTc3 at its relaxed geometry.

Geometry as CIF:
```
data_AlCdTc3
_cell_length_a 4.4976
_cell_length_b 4.4976
_cell_length_c 4.4976
_cell_angle_alpha 90.00
_cell_angle_beta 90.00
_cell_angle_gamma 90.00
_space_group_name_H-M_alt 'P 1'
_space_group_IT_number 1
loop_
_space_group_symop_operation_xyz
'x,y,z'
loop_
_atom_site_label
_atom_site_fract_x
_atom_site_fract_y
_atom_site_fract_z
_atom_site_occupancy
Al1 0.0000 0.0000 0.0000 1
Cd1 0.5000 0.5000 0.5000 1
Tc1 0.0000 0.0000 0.5000 1
Tc2 0.0000 0.5000 0.0000 1
Tc3 0.5000 0.0000 0.0000 1
```

Results
The density of states at the Fermi level is 4.30 states/eV/cell. The total magnetic moment comes out at 0.00 μB/cell. The total energy comes out at -0.4319 Ry per atom. As for the crystal system: cubic. The excess energy over the best structure of this formula in the dataset comes out at 0 meV per atom. The calculation puts the density at 7.910 Mg/m³. As for the formation energy from the elements: 1.275 eV/atom.

***

Record 8
VASP calculation (PBE) on crystalline BeNb2InIr at its relaxed geometry.

Geometry as CIF:
```
data_BeNb2InIr
_cell_length_a 4.8820
_cell_length_b 4.8820
_cell_length_c 5.0026
_cell_angle_alpha 90.00
_cell_angle_beta 90.00
_cell_angle_gamma 90.00
_space_group_name_H-M_alt 'P 1'
_space_group_IT_number 1
loop_
_space_group_symop_operation_xyz
'x,y,z'
loop_
_atom_site_label
_atom_site_fract_x
_atom_site_fract_y
_atom_site_fract_z
_atom_site_occupancy
Be1 0.0000 0.0000 0.0000 1
Nb1 0.0000 0.5000 0.5000 1
Nb2 0.5000 0.0000 0.5000 1
In1 0.5000 0.5000 0.0000 1
Ir1 0.5000 0.5000 0.5000 1
```

Results
The density of states at the Fermi level is 4.62 states/eV/cell. The total magnetic moment comes out at 0.00 μB/cell. The total energy comes out at -0.4357 Ry per atom. As for the crystal system: tetragonal. The calculation puts the density at 6.989 Mg/m³. As for the formation energy from the elements: 1.165 eV/atom.

***

Record 9
VASP calculation (PBE) on crystalline Tm2Th2Co at its relaxed geometry.

Geometry as CIF:
```
data_Tm2Th2Co
_cell_length_a 12.0361
_cell_length_b 12.0361
_cell_length_c 12.0361
_cell_angle_alpha 156.75
_cell_angle_beta 156.75
_cell_angle_gamma 33.12
_space_group_name_H-M_alt 'P 1'
_space_group_IT_number 1
loop_
_space_group_symop_operation_xyz
'x,y,z'
loop_
_atom_site_label
_atom_site_fract_x
_atom_site_fract_y
_atom_site_fract_z
_atom_site_occupancy
Tm1 0.0545 0.3045 0.7500 1
Tm2 0.3045 0.0545 0.2500 1
Tm3 0.6955 0.9455 0.7500 1
Tm4 0.9455 0.6955 0.2500 1
Th1 0.1972 0.4472 0.7500 1
Th2 0.4472 0.1972 0.2500 1
Th3 0.5528 0.8028 0.7500 1
Th4 0.8028 0.5528 0.2500 1
Co1 0.3750 0.6250 0.7500 1
Co2 0.6250 0.3750 0.2500 1
```

Results
The density of states at the Fermi level is 10.78 states/eV/cell. The total magnetic moment comes out at 0.00 μB/cell. The total energy comes out at -0.4528 Ry per atom. As for the crystal system: tetragonal. The calculation puts the density at 10.531 Mg/m³. As for the formation energy from the elements: 0.018 eV/atom.

***

Record 10
VASP calculation (PBE) on crystalline TmZrAgPt at its relaxed geometry.

Geometry as CIF:
```
data_TmZrAgPt
_cell_length_a 4.8755
_cell_length_b 4.8755
_cell_length_c 4.8755
_cell_angle_alpha 60.00
_cell_angle_beta 60.00
_cell_angle_gamma 60.00
_space_group_name_H-M_alt 'P 1'
_space_group_IT_number 1
loop_
_space_group_symop_operation_xyz
'x,y,z'
loop_
_atom_site_label
_atom_site_fract_x
_atom_site_fract_y
_atom_site_fract_z
_atom_site_occupancy
Tm1 0.0000 0.0000 0.0000 1
Zr1 0.5000 0.5000 0.5000 1
Ag1 0.7500 0.7500 0.7500 1
Pt1 0.2500 0.2500 0.2500 1
```

Results
The density of states at the Fermi level is 3.60 states/eV/cell. The total magnetic moment comes out at 0.00 μB/cell. The total energy comes out at -0.4474 Ry per atom. As for the crystal system: cubic. The calculation puts the density at 11.411 Mg/m³. As for the formation energy from the elements: -0.609 eV/atom.

***

Record 11
VASP calculation (PBE) on crystalline ScMn3 at its relaxed geometry.

Geometry as CIF:
```
data_ScMn3
_cell_length_a 4.8029
_cell_length_b 4.8029
_cell_length_c 4.8029
_cell_angle_alpha 116.74
_cell_angle_beta 116.74
_cell_angle_gamma 116.74
_space_group_name_H-M_alt 'P 1'
_space_group_IT_number 1
loop_
_space_group_symop_operation_xyz
'x,y,z'
loop_
_atom_site_label
_atom_site_fract_x
_atom_site_fract_y
_atom_site_fract_z
_atom_site_occupancy
Sc1 0.0000 0.0000 0.0000 1
Mn1 0.0000 0.5000 0.5000 1
Mn2 0.5000 0.0000 0.5000 1
Mn3 0.5000 0.5000 0.0000 1
```

Results
The density of states at the Fermi level is 5.21 states/eV/cell. The total magnetic moment comes out at 0.81 μB/cell. The total energy comes out at -0.6004 Ry per atom. As for the crystal system: trigonal. The calculation puts the density at 6.857 Mg/m³. As for the formation energy from the elements: 0.291 eV/atom.

***

Record 12
VASP calculation (PBE) on crystalline OsPdC3 at its relaxed geometry.

Geometry as CIF:
```
data_OsPdC3
_cell_length_a 3.9794
_cell_length_b 3.9794
_cell_length_c 3.9794
_cell_angle_alpha 90.00
_cell_angle_beta 90.00
_cell_angle_gamma 90.00
_space_group_name_H-M_alt 'P 1'
_space_group_IT_number 1
loop_
_space_group_symop_operation_xyz
'x,y,z'
loop_
_atom_site_label
_atom_site_fract_x
_atom_site_fract_y
_atom_site_fract_z
_atom_site_occupancy
Os1 0.0000 0.0000 0.0000 1
Pd1 0.5000 0.5000 0.5000 1
C1 0.0000 0.0000 0.5000 1
C2 0.0000 0.5000 0.0000 1
C3 0.5000 0.0000 0.0000 1
```

Results
The density of states at the Fermi level is 1.77 states/eV/cell. The total magnetic moment comes out at 0.00 μB/cell. The total energy comes out at -0.5101 Ry per atom. As for the crystal system: cubic. The excess energy over the best structure of this formula in the dataset comes out at 0 meV per atom. The calculation puts the density at 8.767 Mg/m³. As for the formation energy from the elements: 1.879 eV/atom.